Entry from the Alexandria database: a relaxed Sb4IrRh crystal (PBE-GGA).

- D(E_F): 0.570 states/eV/atom
- Raw formation energy: -266 meV per atom
- Energy relative to the lowest polymorph listed for this composition: 0.0 kJ per mole of atoms

CIF file:
```
data_Sb4IrRh
_chemical_formula_sum 'Sb16 Ir4 Rh4'
_symmetry_space_group_name_H-M 'C 1 2/c 1'
_symmetry_Int_Tables_number 15
_symmetry_space_group_name_Hall '-C 2yc'
_cell_length_a 8.584
_cell_length_b 15.063
_cell_length_c 5.869
_cell_angle_alpha 90.00
_cell_angle_beta 133.01
_cell_angle_gamma 90.00
loop_
_atom_site_label
_atom_site_type_symbol
_atom_site_fract_x
_atom_site_fract_y
_atom_site_fract_z
Sb1 Sb 0.181 0.197 0.228
Sb2 Sb 0.195 0.448 0.134
Ir1 Ir 0.000 0.310 0.750
Rh1 Rh 0.000 0.055 0.250
```

=====

Entry from the Alexandria database: a relaxed Sr2NbMo crystal (PBE-GGA).

- D(E_F): 2.094 states/eV/atom
- Energy relative to the lowest polymorph listed for this composition: 0.0 kJ per mole of atoms
- Formation energy: 1592 meV/atom

CIF file:
```
data_Sr2NbMo
_chemical_formula_sum 'Sr8 Nb4 Mo4'
_symmetry_space_group_name_H-M 'F m -3 m'
_symmetry_Int_Tables_number 225
_symmetry_space_group_name_Hall '-F 4 2 3'
_cell_length_a 7.516
_cell_length_b 7.516
_cell_length_c 7.516
_cell_angle_alpha 90.00
_cell_angle_beta 90.00
_cell_angle_gamma 90.00
loop_
_atom_site_label
_atom_site_type_symbol
_atom_site_fract_x
_atom_site_fract_y
_atom_site_fract_z
Sr1 Sr 0.250 0.250 0.250
Nb1 Nb 0.000 0.000 0.000
Mo1 Mo 0.000 0.000 0.500
```

=====

Entry from the Alexandria database: a relaxed Y5CdCu2 crystal (PBE-GGA).

- D(E_F): 1.309 states/eV/atom
- Formation energy: -188 meV/atom

CIF file:
```
data_Y5CdCu2
_chemical_formula_sum 'Y20 Cd4 Cu8'
_symmetry_space_group_name_H-M 'I 4/m c m'
_symmetry_Int_Tables_number 140
_symmetry_space_group_name_Hall '-I 4 2c'
_cell_length_a 7.948
_cell_length_b 7.948
_cell_length_c 13.008
_cell_angle_alpha 90.00
_cell_angle_beta 90.00
_cell_angle_gamma 90.00
loop_
_atom_site_label
_atom_site_type_symbol
_atom_site_fract_x
_atom_site_fract_y
_atom_site_fract_z
Y1 Y 0.000 0.000 0.000
Y2 Y 0.158 0.342 0.141
Cd1 Cd 0.000 0.000 0.250
Cu1 Cu 0.128 0.372 0.500
```

=====

no.,size of the total moment (μB per atom)
1,0.000
2,0.000
3,0.000